Material: Ba2TlNiPb
Method: DFT, PBE
State: optimized geometry

## Properties
E_form in kcal/mol of atoms: -5.2
Relative energy among the computed polymorphs in meV per atom: 0

Cell lengths 6.084, 6.084, 4.968 Å; angles 90.00, 90.00, 90.00 degrees
Space group P4/mmm (No. 123)
Inequivalent atoms, fractional coordinates:
Ba  0.000  0.500  0.000
Tl  0.000  0.000  0.500
Ni  0.500  0.500  0.000
Pb  0.500  0.500  0.500


Material: Ba2YNiPb
Method: DFT, PBE
State: optimized geometry

## Properties
E_form in kcal/mol of atoms: 11.0

Cell lengths 6.730, 6.730, 4.831 Å; angles 90.00, 90.00, 90.00 degrees
Space group P4/mmm (No. 123)
Inequivalent atoms, fractional coordinates:
Ba  0.000  0.500  0.000
Y  0.000  0.000  0.500
Ni  0.500  0.500  0.500
Pb  0.500  0.500  0.000


Material: Ba2ZnNiPb
Method: DFT, PBE
State: optimized geometry

## Properties
E_form in kcal/mol of atoms: -3.3

Cell lengths 5.994, 5.994, 4.682 Å; angles 90.00, 90.00, 90.00 degrees
Space group P4/mmm (No. 123)
Inequivalent atoms, fractional coordinates:
Ba  0.000  0.500  0.000
Zn  0.000  0.000  0.500
Ni  0.000  0.000  0.000
Pb  0.500  0.500  0.500


Material: BaZnNiPb
Method: DFT, PBE
State: optimized geometry

## Properties
E_form in kcal/mol of atoms: -3.8
Relative energy among the computed polymorphs in meV per atom: 6

Cell lengths 4.4270, 4.4270, 18.7429 Å; angles 90.00, 90.00, 120.00 degrees
Space group R3m (No. 160, hexagonal axes)
Inequivalent atoms, fractional coordinates:
Ba  0.0000  0.0000  0.0000
Zn  0.0000  0.0000  0.2087
Ni  0.0000  0.0000  0.5286
Pb  0.0000  0.0000  0.8036


Material: BaZnNiPb
Method: DFT, PBE
State: optimized geometry

## Properties
E_form in kcal/mol of atoms: -2.3
Relative energy among the computed polymorphs in meV per atom: 69

Cell lengths 4.393, 5.732, 8.503 Å; angles 90.00, 90.00, 90.00 degrees
Space group Amm2 (No. 38)
Inequivalent atoms, fractional coordinates:
Ba  0.000  0.000  0.000
Zn  0.500  0.000  0.324
Ni  0.000  0.000  0.466
Pb  0.500  0.000  0.657


Material: BaZnNiPb
Method: DFT, PBE
State: optimized geometry

## Properties
E_form in kcal/mol of atoms: 0.6
Relative energy among the computed polymorphs in meV per atom: 196

Cell lengths 3.766, 4.784, 12.731 Å; angles 90.00, 90.00, 90.00 degrees
Space group Amm2 (No. 38)
Inequivalent atoms, fractional coordinates:
Ba  0.000  0.000  0.000
Zn  0.500  0.000  0.327
Ni  0.500  0.000  0.512
Pb  0.500  0.000  0.713